[1]
{
  "formula": "RbBaZnSe2",
  "functional": "GGA-PBE",
  "state": "relaxed",
  "energy_ev_per_cell": -12.1,
  "m_tot_mub_per_cell": 1.0,
  "formation_energy_uncorrected_ev_per_atom": -0.20,
  "cell": [[6.1551, 0.0000, 0.0000], [0.0000, 6.1551, 0.0000], [0.0000, 0.0000, 7.4256]],
  "species": ["Rb", "Ba", "Zn", "Se", "Se"],
  "fractional_positions": [[0.0000, 0.0000, 0.0000], [0.0000, 0.0000, 0.5000], [0.5000, 0.5000, 0.0000], [0.0000, 0.5000, 0.5000], [0.5000, 0.0000, 0.5000]]
}


[2]
{
  "formula": "Pr3CoGe",
  "functional": "GGA-PBE",
  "state": "relaxed",
  "formation_energy_ev_per_atom": -0.32,
  "e_above_lowest_polymorph_ev_per_atom": 0.000,
  "energy_ev_per_cell": -55.3,
  "m_tot_mub_per_cell": 0.0,
  "cell": [[4.2860, 0.0000, 0.0000], [2.1391, 7.4904, 0.0000], [0.0038, 0.0322, 8.4293]],
  "species": ["Pr", "Pr", "Pr", "Pr", "Pr", "Pr", "Co", "Co", "Ge", "Ge"],
  "fractional_positions": [[0.0471, 0.4059, 0.1762], [0.2454, 0.0096, 0.8021], [0.3829, 0.7324, 0.4462], [0.6171, 0.2676, 0.5538], [0.7546, 0.9904, 0.1979], [0.9529, 0.5941, 0.8238], [0.1993, 0.1026, 0.4198], [0.8007, 0.8974, 0.5802], [0.3908, 0.7182, 0.0723], [0.6092, 0.2818, 0.9277]]
}


[3]
{
  "formula": "TaTiOs",
  "functional": "GGA-PBE",
  "state": "relaxed",
  "formation_energy_ev_per_atom": -0.34,
  "e_above_lowest_polymorph_ev_per_atom": 0.115,
  "energy_ev_per_cell": -32.0,
  "m_tot_mub_per_cell": 0.0,
  "cell": [[4.3890, 0.0000, 0.0000], [-2.1945, 3.8010, 0.0000], [0.0000, 0.0000, 2.8794]],
  "species": ["Ta", "Ti", "Os"],
  "fractional_positions": [[0.0000, 0.0000, 0.0000], [0.6667, 0.3333, 0.6362], [0.3333, 0.6667, 0.3174]]
}